Entry 1
VASP calculation (GGA-PBE) on crystalline YIn3B at its relaxed geometry.

The value obtained for the total moment is 0.000 μB per atom.

a = 4.8747 Å, b = 4.8747 Å, c = 4.8747 Å
α = 90.00°, β = 90.00°, γ = 90.00°
Atoms (fractional coordinates):
1 Y 0.0000 0.0000 0.0000
2 In 0.0000 0.5000 0.5000
3 In 0.5000 0.0000 0.5000
4 In 0.5000 0.5000 0.0000
5 B 0.5000 0.5000 0.5000

=====

Entry 2
VASP calculation (GGA-PBE) on crystalline YIn3B at its relaxed geometry.

The value obtained for the total moment is 0.000 μB per atom.

a = 5.8717 Å, b = 5.8717 Å, c = 5.8717 Å
α = 90.00°, β = 90.00°, γ = 90.00°
Atoms (fractional coordinates):
1 Y 0.0000 0.0000 0.0000
2 In 0.0000 0.0000 0.5000
3 In 0.0000 0.5000 0.0000
4 In 0.5000 0.0000 0.0000
5 B 0.5000 0.5000 0.5000

=====

Preferred: entry 1; penalty for the next structure: 1182 meV per atom.

=====

Entry 1
VASP calculation (GGA-PBE) on crystalline ZnIn2B at its relaxed geometry.

The value obtained for the total moment is 0.000 μB per atom.

a = 4.7550 Å, b = 4.7550 Å, c = 4.7550 Å
α = 60.00°, β = 60.00°, γ = 60.00°
Atoms (fractional coordinates):
1 Zn 0.0000 0.0000 0.0000
2 In 0.2500 0.2500 0.2500
3 In 0.7500 0.7500 0.7500
4 B 0.5000 0.5000 0.5000

=====

Entry 2
VASP calculation (GGA-PBE) on crystalline ZnIn2B at its relaxed geometry.

The value obtained for the total moment is 0.000 μB per atom.

a = 6.8690 Å, b = 6.8690 Å, c = 6.8690 Å
α = 127.56°, β = 127.56°, γ = 77.34°
Atoms (fractional coordinates):
1 Zn 0.0000 0.0000 0.0000
2 Zn 0.7500 0.2500 0.5000
3 In 0.2152 0.6250 0.0902
4 In 0.3750 0.4652 0.5902
5 In 0.5348 0.1250 0.9098
6 In 0.8750 0.7848 0.4098
7 B 0.2500 0.7500 0.5000
8 B 0.5000 0.5000 0.0000

=====

Preferred: entry 2; penalty for the next structure: 189 meV per atom.

=====

Entry 1
VASP calculation (GGA-PBE) on crystalline ZnInB3 at its relaxed geometry.

The value obtained for the total moment is 0.000 μB per atom.

a = 4.1734 Å, b = 4.1734 Å, c = 4.1734 Å
α = 90.00°, β = 90.00°, γ = 90.00°
Atoms (fractional coordinates):
1 Zn 0.0000 0.0000 0.0000
2 In 0.5000 0.5000 0.5000
3 B 0.0000 0.0000 0.5000
4 B 0.0000 0.5000 0.0000
5 B 0.5000 0.0000 0.0000

=====

Entry 2
VASP calculation (GGA-PBE) on crystalline ZnInB3 at its relaxed geometry.

The value obtained for the total moment is 0.000 μB per atom.

a = 4.5283 Å, b = 4.5283 Å, c = 4.5283 Å
α = 90.00°, β = 90.00°, γ = 90.00°
Atoms (fractional coordinates):
1 Zn 0.0000 0.0000 0.0000
2 In 0.5000 0.5000 0.5000
3 B 0.0000 0.5000 0.5000
4 B 0.5000 0.0000 0.5000
5 B 0.5000 0.5000 0.0000

=====

Preferred: entry 1; penalty for the next structure: 512 meV per atom.